No. 1
! ThPd3Pt2 PBE optimized geometry; values from VASP
&SYSTEM
  ibrav = 0, nat = 12, ntyp = 3
/
ATOMIC_SPECIES
Th 232.04 Th.upf
Pd 106.42 Pd.upf
Pt 195.08 Pt.upf
CELL_PARAMETERS angstrom
2.8993 1.6739 7.2716
-2.8993 1.6739 7.2716
0.0000 -3.3478 7.2716
ATOMIC_POSITIONS angstrom
Th 0.0000 0.0000 4.8397
Th 0.0000 0.0000 16.9750
Pd -1.4248 -0.8226 12.1557
Pd 0.0000 -1.6452 9.6590
Pd -1.4248 0.8226 9.6590
Pd 1.4248 -0.8226 12.1557
Pd 0.0000 1.6452 12.1557
Pd 1.4248 0.8226 9.6590
Pt 0.0000 0.0000 0.0000
Pt -1.4496 -0.8369 7.2716
Pt -1.4496 0.8369 14.5431
Pt 0.0000 1.6739 7.2715
! DFT formation energy   -0.6771 eV/atom
! Polymorph energy (0 for the lowest one)   0 meV per atom
! Symmetry   R-3m, No. 166

---

No. 2
! ThPd8Pt4 PBE optimized geometry; values from VASP
&SYSTEM
  ibrav = 0, nat = 13, ntyp = 3
/
ATOMIC_SPECIES
Th 232.04 Th.upf
Pd 106.42 Pd.upf
Pt 195.08 Pt.upf
CELL_PARAMETERS angstrom
-4.5697 4.5697 2.6592
4.5697 -4.5697 2.6592
4.5697 4.5697 -2.6592
ATOMIC_POSITIONS angstrom
Th 0.0000 0.0000 0.0000
Pd 3.1453 0.0000 0.0000
Pd 5.9942 0.0000 0.0000
Pd 4.5697 2.5877 0.0000
Pd 0.0000 3.1453 0.0000
Pd 2.5877 4.5697 0.0000
Pd 1.9821 0.0000 2.6592
Pd 0.0000 5.9942 0.0000
Pd 0.0000 1.9821 2.6592
Pt 2.2849 2.2849 -1.3296
Pt 2.2849 -2.2849 1.3296
Pt -2.2849 2.2849 1.3296
Pt 2.2849 2.2849 1.3296
! DFT formation energy   -0.3463 eV/atom
! Symmetry   I4/mmm, No. 139